Below is a relaxed structure of FeCo5O12, with properties calculated at the PBE+U level.

Unit cell a=4.9709 b=4.9709 c=10.0825 alpha=89.97 beta=89.97 gamma=120.52
Closest atoms and distances in Å follow each position.
Fractional positions:
Fe: 0.0000 0.0000 0.0000  6 O 1.89-1.99
Co: 0.8333 0.1667 0.5000  6 O 1.89-1.90
O: 0.3331 0.3331 0.9073  1 Fe 1.89, 2 Co 1.92
Co: 0.5000 0.5000 0.5000  6 O 1.89-1.90
O: 0.8336 0.8336 0.5924  3 Co 1.89-1.90
O: 0.5001 0.1669 0.5923  3 Co 1.89-1.90
O: 0.1669 0.5001 0.5923  3 Co 1.89-1.90
O: 0.4999 0.8331 0.4077  3 Co 1.89-1.90
Co: 0.1667 0.8333 0.5000  6 O 1.89-1.90
O: 0.9972 0.3472 0.0970  2 Co 1.87-1.89, 1 Fe 1.99
O: 0.3472 0.9972 0.0970  2 Co 1.87-1.89, 1 Fe 1.99
O: 0.6669 0.6669 0.0927  1 Fe 1.89, 2 Co 1.92
O: 0.6528 0.0028 0.9030  2 Co 1.87-1.89, 1 Fe 1.99
Co: 0.3307 0.6693 0.0000  6 O 1.87-1.92
O: 0.8331 0.4999 0.4077  3 Co 1.89-1.90
O: 0.0028 0.6528 0.9030  2 Co 1.87-1.89, 1 Fe 1.99
Co: 0.6693 0.3307 0.0000  6 O 1.87-1.92
O: 0.1664 0.1664 0.4076  3 Co 1.89-1.90

Its final energy is -5.7389 eV per atom. Its total magnetization is 9.00 μB per formula unit. As for the space group: C2/m (12). The theoretical density is 4.20 Mg/m³. For the density of states at the Fermi level, the calculation gives 1.3 states/eV/f.u.